Record 1
Compound: LiSnTeAuS2
Source: OQMD via LeMat-Bulk
Functional: PBE
Structure: optimized geometry

Energy (eV/atom): -3.802
Mass density (Mg/m³): 5.840

The structure in extended XYZ format:
```
12
Lattice="1.851 -7.110 0.000 1.851 7.110 0.000 0.000 0.000 11.115" Properties=species:S:1:pos:R:3 pbc="T T T"
Li 1.851 3.873 8.336
Li 1.851 -3.873 2.779
Sn 1.851 0.000 0.000
Sn 1.851 0.000 5.558
Te 1.851 1.093 2.779
Te 1.851 -1.093 8.336
Au 1.851 5.229 2.779
Au 1.851 -5.229 8.336
S 1.851 5.252 0.457
S 1.851 5.252 5.100
S 1.851 -5.252 6.015
S 1.851 -5.252 10.658
```

=====

Record 2
Compound: KNdPb
Source: OQMD via LeMat-Bulk
Functional: PBE
Structure: optimized geometry

Total magnetization (μB/atom): 0.000
Energy (eV/atom): -2.768
Mass density (Mg/m³): 5.926

The structure in extended XYZ format:
```
3
Lattice="0.000 3.796 3.796 3.796 0.000 3.796 3.796 3.796 0.000" Properties=species:S:1:pos:R:3 pbc="T T T"
K 0.000 0.000 0.000
Nd 5.695 5.695 5.695
Pb 1.898 1.898 1.898
```

=====

Record 3
Compound: PuPaGa6
Source: OQMD via LeMat-Bulk
Functional: PBE
Structure: optimized geometry

Total magnetization (μB/atom): 0.625
Energy (eV/atom): -5.625
Mass density (Mg/m³): 9.586

The structure in extended XYZ format:
```
8
Lattice="6.235 0.000 0.000 -3.117 5.399 0.000 0.000 0.000 4.597" Properties=species:S:1:pos:R:3 pbc="T T T"
Pu 0.000 0.000 0.000
Pa 3.117 1.800 2.298
Ga -1.397 2.793 0.000
Ga 0.000 1.958 2.298
Ga -1.421 4.420 2.298
Ga 1.397 2.793 0.000
Ga 0.000 5.212 0.000
Ga 1.421 4.420 2.298
```

=====

Record 4
Compound: YHoIr2
Source: OQMD via LeMat-Bulk
Functional: PBE
Structure: optimized geometry

Total magnetization (μB/atom): 0.001
DFT formation energy (eV per formula unit): -2.97
Energy above the most stable polymorph in this dataset (eV per formula unit): 0.303
Mass density (Mg/m³): 12.247

The structure in extended XYZ format:
```
8
Lattice="4.253 0.000 0.000 0.000 5.584 0.000 0.000 0.000 7.288" Properties=species:S:1:pos:R:3 pbc="T T T"
Y 0.000 0.721 0.000
Y 0.000 4.863 3.644
Ho 2.127 2.068 4.712
Ho 2.127 3.515 1.068
Ir 0.000 2.148 2.633
Ir 0.000 3.435 6.277
Ir 2.127 0.668 2.090
Ir 2.127 4.916 5.734
```

=====

mass density of number 3 (PuPaGa6)?
9.586 Mg/m³

=====

Among the records above, which one has the lowest mass density?
LiSnTeAuS2